(1)
## Nd2GaBi3 (GGA-PBE)

Data for a relaxed Nd2GaBi3 crystal.

The structure in POSCAR format:
```
Nd2GaBi3
1.0
-2.2521 3.1578 7.1632
2.2521 -3.1578 7.1632
2.2521 3.1578 -7.1632
Nd Ga Bi
2 1 3
Cartesian
0.0000 0.0000 2.3983
0.0000 0.0000 11.9282
0.0000 0.0000 7.1632
2.2521 0.0000 0.0000
2.2521 0.0000 4.7732
0.0000 3.1578 2.3900
```

Values from the calculation:
**Energy of formation**: -408.8 meV/atom
**Spin magnetization**: 0.0000 μB/atom

=====

(2)
## LaSBr (GGA-PBE)

Data for a relaxed LaSBr crystal.

The structure in POSCAR format:
```
LaSBr
1.0
7.0322 0.0000 0.0000
0.0000 14.2120 0.0000
0.0000 0.0000 7.1969
La S Br
8 8 8
Cartesian
1.7124 1.3206 0.2228
1.7124 5.7854 3.8212
1.8037 8.4266 0.2228
1.8037 12.8913 3.8212
5.2285 1.3206 3.3756
5.2285 5.7854 6.9741
5.3198 8.4266 3.3756
5.3198 12.8913 6.9741
0.0015 0.3060 5.3481
0.0015 6.8000 1.7496
7.0307 7.4120 5.4473
7.0307 13.9060 1.8488
3.5176 0.3060 5.4473
3.5176 6.8000 1.8488
3.5146 7.4120 5.3481
3.5146 13.9060 1.7496
1.0175 10.0698 2.7810
1.0175 11.2482 6.3795
2.4986 2.9638 2.7810
2.4986 4.1422 6.3795
4.5336 10.0698 0.8174
4.5336 11.2482 4.4158
6.0147 2.9638 0.8174
6.0147 4.1422 4.4158
```

Values from the calculation:
**Spin magnetization**: 0.0000 μB/atom
**Formation energy (no corrections)**: -2.138 eV/atom

=====

What did the first record say?
## Nd2GaBi3 (GGA-PBE)

Data for a relaxed Nd2GaBi3 crystal.

The structure in POSCAR format:
```
Nd2GaBi3
1.0
-2.2521 3.1578 7.1632
2.2521 -3.1578 7.1632
2.2521 3.1578 -7.1632
Nd Ga Bi
2 1 3
Cartesian
0.0000 0.0000 2.3983
0.0000 0.0000 11.9282
0.0000 0.0000 7.1632
2.2521 0.0000 0.0000
2.2521 0.0000 4.7732
0.0000 3.1578 2.3900
```

Values from the calculation:
**Energy of formation**: -408.8 meV/atom
**Spin magnetization**: 0.0000 μB/atom

=====

What did the second record say?
## LaSBr (GGA-PBE)

Data for a relaxed LaSBr crystal.

The structure in POSCAR format:
```
LaSBr
1.0
7.0322 0.0000 0.0000
0.0000 14.2120 0.0000
0.0000 0.0000 7.1969
La S Br
8 8 8
Cartesian
1.7124 1.3206 0.2228
1.7124 5.7854 3.8212
1.8037 8.4266 0.2228
1.8037 12.8913 3.8212
5.2285 1.3206 3.3756
5.2285 5.7854 6.9741
5.3198 8.4266 3.3756
5.3198 12.8913 6.9741
0.0015 0.3060 5.3481
0.0015 6.8000 1.7496
7.0307 7.4120 5.4473
7.0307 13.9060 1.8488
3.5176 0.3060 5.4473
3.5176 6.8000 1.8488
3.5146 7.4120 5.3481
3.5146 13.9060 1.7496
1.0175 10.0698 2.7810
1.0175 11.2482 6.3795
2.4986 2.9638 2.7810
2.4986 4.1422 6.3795
4.5336 10.0698 0.8174
4.5336 11.2482 4.4158
6.0147 2.9638 0.8174
6.0147 4.1422 4.4158
```

Values from the calculation:
**Spin magnetization**: 0.0000 μB/atom
**Formation energy (no corrections)**: -2.138 eV/atom